# 1
The following is a GGA-PBE calculation of a relaxed structure of Zr3Mn8W, from Alexandria.

Computed properties:
mass density	8859	kg/m3
raw total energy	-9.45	eV/atom

a = 4.9118 Å, b = 4.9118 Å, c = 24.1416 Å
α = 90.00°, β = 90.00°, γ = 120.00°
Space group R3m (No. 160, hexagonal axes)
Symmetry-distinct sites (fractional):
Zr 0.0000 0.0000 0.0000 [3 per cell]
Zr 0.0000 0.0000 0.1261 [3 per cell]
Zr 0.0000 0.0000 0.6235 [3 per cell]
Mn 0.0000 0.0000 0.3124 [3 per cell]
Mn 0.0000 0.0000 0.8127 [3 per cell]
Mn 0.0022 0.5011 0.0645 [9 per cell]
Mn 0.1675 0.3350 0.8937 [9 per cell]
W 0.0000 0.0000 0.5000 [3 per cell]

---

# 2
The following is a GGA-PBE calculation of a relaxed structure of Ce3ZnNi4, from Alexandria.

Computed properties:
mass density	7598	kg/m3
raw total energy	-5.51	eV/atom

a = 3.7489 Å, b = 6.0021 Å, c = 13.9966 Å
α = 90.00°, β = 90.00°, γ = 90.00°
Space group Immm (No. 71)
Symmetry-distinct sites (fractional):
Ce 0.0000 0.0000 0.0000 [2 per cell]
Ce 0.0000 0.5000 0.1906 [4 per cell]
Zn 0.0000 0.0000 0.5000 [2 per cell]
Ni 0.0000 0.2975 0.3767 [8 per cell]

---

Across the entries above, magnetization takes the values 22.2 1.9 μB/cell, respectively.
Across the entries above, energy of formation takes the values -0.1172 -0.2350 eV/atom, respectively.